Record 1
# Gd2TmIn3Cu3 PBE-GGA relaxed
# Volume   381 Å³ per cell
# Final energy   -4.0964 eV per atom
data_Gd2TmIn3Cu3
_chemical_formula_sum 'Gd4 Tm2 In6 Cu6'
_symmetry_space_group_name_H-M 'A m m 2'
_symmetry_Int_Tables_number 38
_symmetry_space_group_name_Hall 'A 2 -2'
_cell_length_a 3.878
_cell_length_b 13.025
_cell_length_c 7.534
_cell_angle_alpha 90.00
_cell_angle_beta 90.00
_cell_angle_gamma 90.00
loop_
_atom_site_label
_atom_site_type_symbol
_atom_site_fract_x
_atom_site_fract_y
_atom_site_fract_z
Gd1 Gd 0.000 0.205 0.000
Tm1 Tm 0.000 0.000 0.385
In1 In 0.500 0.000 0.051
In2 In 0.500 0.127 0.665
Cu1 Cu 0.000 0.000 0.793
Cu2 Cu 0.500 0.164 0.295

***

Record 2
# GdYInCu2 PBE-GGA relaxed
# Volume   216 Å³ per cell
# Final energy   -4.6401 eV per atom
data_GdYInCu2
_chemical_formula_sum 'Gd2 Y2 In2 Cu4'
_symmetry_space_group_name_H-M 'A m m 2'
_symmetry_Int_Tables_number 38
_symmetry_space_group_name_Hall 'A 2 -2'
_cell_length_a 3.617
_cell_length_b 4.268
_cell_length_c 14.000
_cell_angle_alpha 90.00
_cell_angle_beta 90.00
_cell_angle_gamma 90.00
loop_
_atom_site_label
_atom_site_type_symbol
_atom_site_fract_x
_atom_site_fract_y
_atom_site_fract_z
Gd1 Gd 0.000 0.000 0.000
Y1 Y 0.000 0.000 0.265
In1 In 0.500 0.000 0.633
Cu1 Cu 0.500 0.000 0.431
Cu2 Cu 0.500 0.000 0.833